Entry P
Compound: BaAlCdAu
Source: OQMD
Functional: PBE
Structure: relaxed

a = 5.299 Å, b = 5.299 Å, c = 5.299 Å
α = 60.00°, β = 60.00°, γ = 60.00°
Fractional coordinates of all 4 atoms:
Al: 0.250 0.250 0.250
Au: 0.750 0.750 0.750
Ba: 0.500 0.500 0.500
Cd: 0.000 0.000 0.000


Entry Q
Compound: BaAlCdAu
Source: OQMD
Functional: PBE
Structure: relaxed

a = 5.225 Å, b = 5.225 Å, c = 5.225 Å
α = 60.00°, β = 60.00°, γ = 60.00°
Fractional coordinates of all 4 atoms:
Au: 0.750 0.750 0.750
Al: 0.500 0.500 0.500
Ba: 0.250 0.250 0.250
Cd: 0.000 0.000 0.000


Entry R
Compound: BaAlCdAu
Source: OQMD
Functional: PBE
Structure: relaxed

a = 5.311 Å, b = 5.311 Å, c = 5.311 Å
α = 60.00°, β = 60.00°, γ = 60.00°
Fractional coordinates of all 4 atoms:
Al: 0.000 0.000 0.000
Au: 0.750 0.750 0.750
Ba: 0.500 0.500 0.500
Cd: 0.250 0.250 0.250


Of them, the most stable is entry R and the least stable is entry Q.